# 1
A geometry-optimized W2Se2I structure, computed with PBE-GGA.

abc: 3.2474 3.2474 22.2228
angles: 90.00 90.00 90.00
Space group I4/mmm (No. 139)
One atom of each set of equivalent atoms:
W  0.0000  0.0000  0.1185 (multiplicity 4)
Se  0.0000  0.0000  0.3279 (multiplicity 4)
I  0.0000  0.0000  0.0000 (multiplicity 2)

Properties
Uncorrected formation energy in eV per formula unit: 2.88
Total magnetization in μB/cell: 0.00

# 2
A geometry-optimized WSeI2 structure, computed with PBE-GGA.

abc: 8.1966 11.1558 3.3951
angles: 90.00 114.24 90.00
Space group Cm (No. 8)
One atom of each set of equivalent atoms:
W  0.0000  0.0000  0.0000 (multiplicity 2)
Se  0.2520  0.5000  0.2542 (multiplicity 2)
I  0.1528  0.1679  0.6515 (multiplicity 4)

Properties
Uncorrected formation energy in eV per formula unit: 0.53
Total magnetization in μB/cell: 0.00
Energy above the most stable polymorph in this dataset in meV/atom: 385

# 3
A geometry-optimized WSeI2 structure, computed with PBE-GGA.

abc: 7.3805 7.3805 9.5314
angles: 90.00 90.00 90.00
Space group I-42d (No. 122)
One atom of each set of equivalent atoms:
W  0.0000  0.0000  0.0000 (multiplicity 4)
Se  0.0000  0.0000  0.5000 (multiplicity 4)
I  0.1917  0.2500  0.1250 (multiplicity 8)

Properties
Uncorrected formation energy in eV per formula unit: 4.42
Total magnetization in μB/cell: 0.00
Energy above the most stable polymorph in this dataset in meV/atom: 1358

# 4
A geometry-optimized W2SeI structure, computed with PBE-GGA.

abc: 4.5350 4.5350 16.6593
angles: 90.00 90.00 90.00
Space group I-42d (No. 122)
One atom of each set of equivalent atoms:
W  0.1781  0.2500  0.1250 (multiplicity 8)
Se  0.0000  0.0000  0.0000 (multiplicity 4)
I  0.0000  0.0000  0.5000 (multiplicity 4)

Properties
Uncorrected formation energy in eV per formula unit: 3.85
Total magnetization in μB/cell: 0.00
Energy above the most stable polymorph in this dataset in meV/atom: 0

# 5
A geometry-optimized WSeI3 structure, computed with PBE-GGA.

abc: 5.3851 5.3851 5.3851
angles: 90.00 90.00 90.00
Space group Pm-3m (No. 221)
One atom of each set of equivalent atoms:
W  0.0000  0.0000  0.0000 (multiplicity 1)
Se  0.5000  0.5000  0.5000 (multiplicity 1)
I  0.0000  0.0000  0.5000 (multiplicity 3)

Properties
Uncorrected formation energy in eV per formula unit: 4.00
Total magnetization in μB/cell: 0.00
Energy above the most stable polymorph in this dataset in meV/atom: 0

# 6
A geometry-optimized W2SeI structure, computed with PBE-GGA.

abc: 6.5246 6.5246 6.5246
angles: 90.00 90.00 90.00
Space group Fm-3m (No. 225)
One atom of each set of equivalent atoms:
W  0.2500  0.2500  0.2500 (multiplicity 8)
Se  0.0000  0.0000  0.0000 (multiplicity 4)
I  0.0000  0.0000  0.5000 (multiplicity 4)

Properties
Uncorrected formation energy in eV per formula unit: 4.47
Total magnetization in μB/cell: 0.00
Energy above the most stable polymorph in this dataset in meV/atom: 155

# 7
A geometry-optimized WSeI2 structure, computed with PBE-GGA.

abc: 7.9964 3.5969 9.9319
angles: 90.00 104.71 90.00
Space group Pm (No. 6)
One atom of each set of equivalent atoms:
W  0.0000  0.0000  0.0000 (multiplicity 1)
W  0.0915  0.0000  0.2710 (multiplicity 1)
Se  0.2466  0.5000  0.4284 (multiplicity 1)
Se  0.8587  0.5000  0.1232 (multiplicity 1)
I  0.0875  0.5000  0.8066 (multiplicity 1)
I  0.3496  0.0000  0.1270 (multiplicity 1)
I  0.6704  0.0000  0.8256 (multiplicity 1)
I  0.8337  0.0000  0.4098 (multiplicity 1)

Properties
Uncorrected formation energy in eV per formula unit: -0.25
Total magnetization in μB/cell: 0.00
Energy above the most stable polymorph in this dataset in meV/atom: 189

# 8
A geometry-optimized W3SeI structure, computed with PBE-GGA.

abc: 4.8976 4.8976 4.8976
angles: 90.00 90.00 90.00
Space group Pm-3m (No. 221)
One atom of each set of equivalent atoms:
W  0.0000  0.0000  0.5000 (multiplicity 3)
Se  0.5000  0.5000  0.5000 (multiplicity 1)
I  0.0000  0.0000  0.0000 (multiplicity 1)

Properties
Uncorrected formation energy in eV per formula unit: 14.67
Total magnetization in μB/cell: 0.00
Energy above the most stable polymorph in this dataset in meV/atom: 942

# 9
A geometry-optimized WSeI2 structure, computed with PBE-GGA.

abc: 3.5970 9.4112 9.6799
angles: 115.50 91.55 100.68
Space group P1 (No. 1)
One atom of each set of equivalent atoms:
W  0.0000  0.0000  0.0000 (multiplicity 1)
W  0.1560  0.2877  0.2299 (multiplicity 1)
Se  0.3939  0.7922  0.9271 (multiplicity 1)
Se  0.6131  0.2307  0.0193 (multiplicity 1)
I  0.0364  0.0300  0.3014 (multiplicity 1)
I  0.2971  0.5803  0.2178 (multiplicity 1)
I  0.7455  0.4340  0.4826 (multiplicity 1)
I  0.9664  0.9756  0.7065 (multiplicity 1)

Properties
Uncorrected formation energy in eV per formula unit: -0.25
Total magnetization in μB/cell: 0.00
Energy above the most stable polymorph in this dataset in meV/atom: 190

# 10
A geometry-optimized WSeI2 structure, computed with PBE-GGA.

abc: 7.8149 3.4416 9.8367
angles: 90.00 95.45 90.00
Space group P2_1/m (No. 11)
One atom of each set of equivalent atoms:
W  0.0551  0.2500  0.1099 (multiplicity 2)
Se  0.2452  0.7500  0.0076 (multiplicity 2)
I  0.0897  0.2500  0.7029 (multiplicity 2)
I  0.3425  0.2500  0.3180 (multiplicity 2)

Properties
Uncorrected formation energy in eV per formula unit: -1.01
Total magnetization in μB/cell: 0.00
Energy above the most stable polymorph in this dataset in meV/atom: 0

# 11
A geometry-optimized YSe2I structure, computed with PBE-GGA.

abc: 9.1659 9.1659 5.7287
angles: 90.00 90.00 90.00
Space group I-42d (No. 122)
One atom of each set of equivalent atoms:
Y  0.0000  0.0000  0.0000 (multiplicity 4)
Se  0.1993  0.2500  0.1250 (multiplicity 8)
I  0.0000  0.0000  0.5000 (multiplicity 4)

Properties
Uncorrected formation energy in eV per formula unit: -3.27
Total magnetization in μB/cell: 0.00
Energy above the most stable polymorph in this dataset in meV/atom: 290

# 12
A geometry-optimized YSeI structure, computed with PBE-GGA.

abc: 4.2470 4.2470 7.1128
angles: 90.00 90.00 120.00
Space group P3m1 (No. 156)
One atom of each set of equivalent atoms:
Y  0.0000  0.0000  0.0000 (multiplicity 1)
Se  0.6667  0.3333  0.1855 (multiplicity 1)
I  0.3333  0.6667  0.7135 (multiplicity 1)

Properties
Uncorrected formation energy in eV per formula unit: -4.95
Total magnetization in μB/cell: 0.00

# 13
A geometry-optimized YSe2I structure, computed with PBE-GGA.

abc: 4.3383 4.3383 25.2981
angles: 90.00 90.00 120.00
Space group R-3m (No. 166, hexagonal axes)
One atom of each set of equivalent atoms:
Y  0.0000  0.0000  0.0000 (multiplicity 3)
Se  0.0000  0.0000  0.3906 (multiplicity 6)
I  0.0000  0.0000  0.5000 (multiplicity 3)

Properties
Uncorrected formation energy in eV per formula unit: -4.43
Total magnetization in μB/cell: 0.00
Energy above the most stable polymorph in this dataset in meV/atom: 0

# 14
A geometry-optimized Y2SeI structure, computed with PBE-GGA.

abc: 4.0099 4.0099 23.9255
angles: 90.00 90.00 120.00
Space group R-3m (No. 166, hexagonal axes)
One atom of each set of equivalent atoms:
Y  0.0000  0.0000  0.2322 (multiplicity 6)
Se  0.0000  0.0000  0.5000 (multiplicity 3)
I  0.0000  0.0000  0.0000 (multiplicity 3)

Properties
Uncorrected formation energy in eV per formula unit: -4.82
Total magnetization in μB/cell: 0.00
Energy above the most stable polymorph in this dataset in meV/atom: 20

# 15
A geometry-optimized YSeI2 structure, computed with PBE-GGA.

abc: 11.1129 11.1129 5.5313
angles: 90.00 90.00 90.00
Space group I-42d (No. 122)
One atom of each set of equivalent atoms:
Y  0.0000  0.0000  0.0000 (multiplicity 4)
Se  0.0000  0.0000  0.5000 (multiplicity 4)
I  0.1010  0.7500  0.1250 (multiplicity 8)

Properties
Uncorrected formation energy in eV per formula unit: -3.87
Total magnetization in μB/cell: 4.00
Energy above the most stable polymorph in this dataset in meV/atom: 0

# 16
A geometry-optimized Y2SeI2 structure, computed with PBE-GGA.

abc: 4.9037 4.9037 14.0583
angles: 90.00 90.00 90.00
Space group I4/mmm (No. 139)
One atom of each set of equivalent atoms:
Y  0.0000  0.0000  0.1127 (multiplicity 4)
Se  0.0000  0.0000  0.5000 (multiplicity 2)
I  0.0000  0.5000  0.2500 (multiplicity 4)

Properties
Uncorrected formation energy in eV per formula unit: -2.97
Total magnetization in μB/cell: 2.89

# 17
A geometry-optimized Y2SeI structure, computed with PBE-GGA.

abc: 6.6732 6.6732 13.2982
angles: 90.00 90.00 90.00
Space group I-42d (No. 122)
One atom of each set of equivalent atoms:
Y  0.2083  0.2500  0.1250 (multiplicity 8)
Se  0.0000  0.0000  0.0000 (multiplicity 4)
I  0.0000  0.0000  0.5000 (multiplicity 4)

Properties
Uncorrected formation energy in eV per formula unit: -3.15
Total magnetization in μB/cell: 0.00
Energy above the most stable polymorph in this dataset in meV/atom: 437

# 18
A geometry-optimized YSeI structure, computed with PBE-GGA.

abc: 3.7107 3.7107 14.2094
angles: 90.00 90.00 90.00
Space group I4mm (No. 107)
One atom of each set of equivalent atoms:
Y  0.0000  0.0000  0.0000 (multiplicity 2)
Se  0.0000  0.0000  0.5928 (multiplicity 2)
I  0.0000  0.0000  0.3469 (multiplicity 2)

Properties
Uncorrected formation energy in eV per formula unit: -4.11
Total magnetization in μB/cell: 0.00

# 19
A geometry-optimized Y2SeI2 structure, computed with PBE-GGA.

abc: 7.6973 7.6973 5.1875
angles: 90.00 90.00 90.00
Space group P4/mbm (No. 127)
One atom of each set of equivalent atoms:
Y  0.1678  0.3322  0.0000 (multiplicity 4)
Se  0.0000  0.0000  0.0000 (multiplicity 2)
I  0.1640  0.6640  0.5000 (multiplicity 4)

Properties
Uncorrected formation energy in eV per formula unit: -5.50
Total magnetization in μB/cell: 0.37

# 20
A geometry-optimized YSe2I structure, computed with PBE-GGA.

abc: 7.3969 7.3969 7.3969
angles: 90.00 90.00 90.00
Space group Fm-3m (No. 225)
One atom of each set of equivalent atoms:
Y  0.0000  0.0000  0.0000 (multiplicity 4)
Se  0.2500  0.2500  0.2500 (multiplicity 8)
I  0.0000  0.0000  0.5000 (multiplicity 4)

Properties
Uncorrected formation energy in eV per formula unit: -2.00
Total magnetization in μB/cell: 0.00
Energy above the most stable polymorph in this dataset in meV/atom: 607

# 21
A geometry-optimized Y3SeI7 structure, computed with PBE-GGA.

abc: 8.6785 8.6785 7.5419
angles: 90.00 90.00 120.00
Space group P3m1 (No. 156)
One atom of each set of equivalent atoms:
Y  0.0171  0.5086  0.0000 (multiplicity 3)
Se  0.3333  0.6667  0.8089 (multiplicity 1)
I  0.1682  0.3364  0.2444 (multiplicity 3)
I  0.3387  0.1694  0.7775 (multiplicity 3)
I  0.6667  0.3333  0.2420 (multiplicity 1)

Properties
Uncorrected formation energy in eV per formula unit: -16.16
Total magnetization in μB/cell: 0.00

# 22
A geometry-optimized Y2SeI structure, computed with PBE-GGA.

abc: 7.3483 7.3483 7.3483
angles: 90.00 90.00 90.00
Space group Fm-3m (No. 225)
One atom of each set of equivalent atoms:
Y  0.2500  0.2500  0.2500 (multiplicity 8)
Se  0.0000  0.0000  0.0000 (multiplicity 4)
I  0.0000  0.0000  0.5000 (multiplicity 4)

Properties
Uncorrected formation energy in eV per formula unit: -4.14
Total magnetization in μB/cell: 0.00
Energy above the most stable polymorph in this dataset in meV/atom: 191

# 23
A geometry-optimized Y2Se2I structure, computed with PBE-GGA.

abc: 4.2565 5.6415 13.1070
angles: 90.00 90.00 90.00
Space group Immm (No. 71)
One atom of each set of equivalent atoms:
Y  0.0000  0.0000  0.1875 (multiplicity 4)
Se  0.0000  0.5000  0.1708 (multiplicity 4)
I  0.0000  0.5000  0.5000 (multiplicity 2)

Properties
Uncorrected formation energy in eV per formula unit: -8.16
Total magnetization in μB/cell: 0.00
Energy above the most stable polymorph in this dataset in meV/atom: 0

# 24
A geometry-optimized Y2SeI3 structure, computed with PBE-GGA.

abc: 21.3396 4.2138 14.6683
angles: 90.00 132.14 90.00
Space group C2/m (No. 12)
One atom of each set of equivalent atoms:
Y  0.0791  0.0000  0.4640 (multiplicity 4)
Y  0.1323  0.5000  0.8305 (multiplicity 4)
Se  0.1005  0.0000  0.6792 (multiplicity 4)
I  0.0465  0.5000  0.2714 (multiplicity 4)
I  0.1743  0.0000  0.0258 (multiplicity 4)
I  0.2208  0.5000  0.6146 (multiplicity 4)

Properties
Uncorrected formation energy in eV per formula unit: -8.47
Total magnetization in μB/cell: 0.00

# 25
A geometry-optimized Y2SeI2 structure, computed with PBE-GGA.

abc: 7.2700 4.1970 11.8540
angles: 90.00 103.16 90.00
Space group C2/m (No. 12)
One atom of each set of equivalent atoms:
Y  0.2142  0.0000  0.1280 (multiplicity 4)
Se  0.0000  0.5000  0.0000 (multiplicity 2)
I  0.0543  0.0000  0.6974 (multiplicity 4)

Properties
Uncorrected formation energy in eV per formula unit: -7.62
Total magnetization in μB/cell: 0.00

# 26
A geometry-optimized YSeI structure, computed with PBE-GGA.

abc: 7.9893 8.4483 7.4210
angles: 90.00 111.75 90.00
Space group P2_1/c (No. 14)
One atom of each set of equivalent atoms:
Y  0.0120  0.1273  0.2269 (multiplicity 4)
Se  0.1983  0.1290  0.9806 (multiplicity 4)
I  0.2537  0.6192  0.0296 (multiplicity 4)

Properties
Uncorrected formation energy in eV per formula unit: -4.88
Total magnetization in μB/cell: 0.00